Entry 1:
VASP calculation (meta-GGA SCAN) on RbTaNi3 at its PBEsol-relaxed geometry.

total DFT energy (no corrections): -25.95 eV per atom
calculated volume: 20.8 A^3/atom
calculated formation energy: 1.22 eV per atom
magnetic moment: 0.00 Bohr magnetons per cell
space group: Pm-3m

The structure in CIF format:
```
data_RbTaNi3
_chemical_formula_sum 'Rb1 Ta1 Ni3'
_cell_length_a 4.702
_cell_length_b 4.702
_cell_length_c 4.702
_cell_angle_alpha 90.00
_cell_angle_beta 90.00
_cell_angle_gamma 90.00
_symmetry_space_group_name_H-M 'P 1'
_symmetry_Int_Tables_number 1
loop_
_symmetry_equiv_pos_as_xyz
'x,y,z'
loop_
_atom_site_label
_atom_site_fract_x
_atom_site_fract_y
_atom_site_fract_z
Ni1 0.500 0.000 0.000
Ni2 0.000 0.000 0.500
Ni3 0.000 0.500 0.000
Rb1 0.500 0.500 0.500
Ta1 0.000 0.000 0.000
```

=====

Entry 2:
VASP calculation (meta-GGA SCAN) on RbTiNi3 at its PBEsol-relaxed geometry.

total DFT energy (no corrections): -14.78 eV per atom
calculated volume: 18.3 A^3/atom
calculated formation energy: 2.28 eV per atom
magnetic moment: 1.41 Bohr magnetons per cell
space group: Pm-3m

The structure in CIF format:
```
data_RbTiNi3
_chemical_formula_sum 'Rb1 Ti1 Ni3'
_cell_length_a 4.504
_cell_length_b 4.504
_cell_length_c 4.504
_cell_angle_alpha 90.00
_cell_angle_beta 90.00
_cell_angle_gamma 90.00
_symmetry_space_group_name_H-M 'P 1'
_symmetry_Int_Tables_number 1
loop_
_symmetry_equiv_pos_as_xyz
'x,y,z'
loop_
_atom_site_label
_atom_site_fract_x
_atom_site_fract_y
_atom_site_fract_z
Ni1 0.000 0.000 0.500
Rb1 0.000 0.000 0.000
Ni2 0.500 0.000 0.000
Ni3 0.000 0.500 0.000
Ti1 0.500 0.500 0.500
```

=====

Entry 3:
VASP calculation (meta-GGA SCAN) on RbYTiNi2 at its PBEsol-relaxed geometry.

total DFT energy (no corrections): -17.67 eV per atom
calculated volume: 20.6 A^3/atom
calculated formation energy: 1.72 eV per atom
magnetic moment: 1.90 Bohr magnetons per cell
space group: P4/mmm

The structure in CIF format:
```
data_RbYTiNi2
_chemical_formula_sum 'Rb1 Y1 Ti1 Ni2'
_cell_length_a 4.677
_cell_length_b 4.677
_cell_length_c 4.714
_cell_angle_alpha 90.00
_cell_angle_beta 90.00
_cell_angle_gamma 90.00
_symmetry_space_group_name_H-M 'P 1'
_symmetry_Int_Tables_number 1
loop_
_symmetry_equiv_pos_as_xyz
'x,y,z'
loop_
_atom_site_label
_atom_site_fract_x
_atom_site_fract_y
_atom_site_fract_z
Rb1 0.000 0.000 0.000
Ni1 0.000 0.500 0.000
Ni2 0.500 0.000 0.000
Y1 0.500 0.500 0.500
Ti1 0.000 0.000 0.500
```